# 1
{"formula": "Al2CuRh", "functional": "GGA-PBE", "state": "relaxed", "cell": [[5.340, 0.000, 0.000], [0.000, 9.990, 0.000], [-1.390, 0.000, 2.359]], "species": ["Al", "Al", "Al", "Al", "Cu", "Cu", "Rh", "Rh"], "fractional_positions": [[0.000, 0.244, 0.000], [0.000, 0.756, 0.000], [0.500, 0.256, 0.000], [0.500, 0.744, 0.000], [0.000, 0.500, 0.000], [0.500, 0.000, 0.000], [0.000, 0.000, 0.000], [0.500, 0.500, 0.000]], "ef_kj_per_mol_fu": 71.2, "n_ef_per_ev_cell": 5.20, "total_magnetization_mub_per_cell": 0.00, "polymorph_energy_mev_per_atom": 833}


# 2
{"formula": "Al2CuRh", "functional": "GGA-PBE", "state": "relaxed", "cell": [[6.682, 0.000, 0.000], [0.000, 6.682, 0.000], [0.000, 0.000, 5.414]], "species": ["Al", "Al", "Al", "Al", "Al", "Al", "Al", "Al", "Cu", "Cu", "Cu", "Cu", "Rh", "Rh", "Rh", "Rh"], "fractional_positions": [[0.247, 0.250, 0.125], [0.250, 0.747, 0.375], [0.250, 0.753, 0.875], [0.253, 0.250, 0.625], [0.747, 0.750, 0.625], [0.750, 0.247, 0.875], [0.750, 0.253, 0.375], [0.753, 0.750, 0.125], [0.000, 0.000, 0.000], [0.000, 0.500, 0.250], [0.500, 0.000, 0.750], [0.500, 0.500, 0.500], [0.000, 0.000, 0.500], [0.000, 0.500, 0.750], [0.500, 0.000, 0.250], [0.500, 0.500, 0.000]], "ef_kj_per_mol_fu": -54.5, "n_ef_per_ev_cell": 5.94, "total_magnetization_mub_per_cell": 0.00, "polymorph_energy_mev_per_atom": 508}


# 3
{"formula": "Al2Cu2Rh", "functional": "GGA-PBE", "state": "relaxed", "cell": [[2.916, 0.000, 0.000], [0.000, 16.448, 0.000], [0.000, 0.000, 2.897]], "species": ["Al", "Al", "Al", "Al", "Cu", "Cu", "Cu", "Cu", "Rh", "Rh"], "fractional_positions": [[0.000, 0.096, 0.000], [0.000, 0.904, 0.000], [0.500, 0.404, 0.000], [0.500, 0.596, 0.000], [0.000, 0.311, 0.500], [0.000, 0.689, 0.500], [0.500, 0.189, 0.500], [0.500, 0.811, 0.500], [0.000, 0.500, 0.500], [0.500, 0.000, 0.500]], "ef_kj_per_mol_fu": -187.3, "n_ef_per_ev_cell": 4.22, "total_magnetization_mub_per_cell": 0.00, "polymorph_energy_mev_per_atom": 0}


# 4
{"formula": "AlCu2Rh", "functional": "GGA-PBE", "state": "relaxed", "cell": [[2.817, 0.000, 0.000], [0.000, 4.518, 0.000], [0.000, 0.000, 8.489]], "species": ["Al", "Al", "Cu", "Cu", "Cu", "Cu", "Rh", "Rh"], "fractional_positions": [[0.000, 0.000, 0.000], [0.500, 0.500, 0.000], [0.000, 0.500, 0.243], [0.000, 0.500, 0.757], [0.500, 0.000, 0.243], [0.500, 0.000, 0.757], [0.000, 0.000, 0.500], [0.500, 0.500, 0.500]], "ef_kj_per_mol_fu": 7.3, "n_ef_per_ev_cell": 8.05, "total_magnetization_mub_per_cell": 0.56}


# 5
{"formula": "AlCu2Rh", "functional": "GGA-PBE", "state": "relaxed", "cell": [[2.791, 0.000, 0.000], [0.000, 4.438, 0.000], [-0.299, 0.000, 4.323]], "species": ["Al", "Cu", "Cu", "Rh"], "fractional_positions": [[0.000, 0.000, 0.000], [0.232, 0.500, 0.752], [0.768, 0.500, 0.248], [0.500, 0.000, 0.500]], "ef_kj_per_mol_fu": -103.0, "n_ef_per_ev_cell": 1.69, "total_magnetization_mub_per_cell": 0.00}


# 6
{"formula": "AlCuRh", "functional": "GGA-PBE", "state": "relaxed", "cell": [[3.014, 0.000, 0.000], [0.000, 3.014, 0.000], [0.000, 0.000, 8.801]], "species": ["Al", "Al", "Cu", "Cu", "Rh", "Rh"], "fractional_positions": [[0.000, 0.000, 0.000], [0.500, 0.500, 0.500], [0.000, 0.000, 0.663], [0.500, 0.500, 0.163], [0.000, 0.000, 0.344], [0.500, 0.500, 0.844]], "ef_kj_per_mol_fu": -149.6, "n_ef_per_ev_cell": 3.14, "total_magnetization_mub_per_cell": 0.00, "polymorph_energy_mev_per_atom": 20}


# 7
{"formula": "Al2CuRh", "functional": "GGA-PBE", "state": "relaxed", "cell": [[3.236, 0.000, 0.000], [0.000, 3.236, 0.000], [0.000, 0.000, 5.349]], "species": ["Al", "Al", "Cu", "Rh"], "fractional_positions": [[0.000, 0.000, 0.000], [0.500, 0.500, 0.301], [0.000, 0.000, 0.498], [0.500, 0.500, 0.797]], "ef_kj_per_mol_fu": -191.9, "n_ef_per_ev_cell": 2.17, "total_magnetization_mub_per_cell": 0.00, "polymorph_energy_mev_per_atom": 152}


# 8
{"formula": "AlCu2Rh", "functional": "GGA-PBE", "state": "relaxed", "cell": [[2.748, 0.000, 0.000], [0.000, 3.739, 0.000], [0.000, 0.000, 5.144]], "species": ["Al", "Cu", "Cu", "Rh"], "fractional_positions": [[0.000, 0.000, 0.000], [0.500, 0.500, 0.247], [0.500, 0.500, 0.753], [0.000, 0.000, 0.500]], "ef_kj_per_mol_fu": -80.9, "n_ef_per_ev_cell": 2.34, "total_magnetization_mub_per_cell": 0.00}


# 9
{"formula": "AlCuRh2", "functional": "GGA-PBE", "state": "relaxed", "cell": [[2.967, 0.000, 0.000], [0.000, 2.967, 0.000], [0.000, 0.000, 6.156]], "species": ["Al", "Cu", "Rh", "Rh"], "fractional_positions": [[0.000, 0.000, 0.000], [0.500, 0.500, 0.227], [0.000, 0.000, 0.471], [0.500, 0.500, 0.767]], "ef_kj_per_mol_fu": -122.4, "n_ef_per_ev_cell": 4.49, "total_magnetization_mub_per_cell": 0.10}


# 10
{"formula": "Al2CuRh3", "functional": "GGA-PBE", "state": "relaxed", "cell": [[2.997, 0.000, 0.000], [0.000, 2.997, 0.000], [0.000, 0.000, 9.000]], "species": ["Al", "Al", "Cu", "Rh", "Rh", "Rh"], "fractional_positions": [[0.000, 0.000, 0.172], [0.000, 0.000, 0.828], [0.000, 0.000, 0.500], [0.500, 0.500, 0.000], [0.500, 0.500, 0.328], [0.500, 0.500, 0.672]], "ef_kj_per_mol_fu": -428.4, "n_ef_per_ev_cell": 2.77, "total_magnetization_mub_per_cell": 0.00}


# 11
{"formula": "Al6Cu3Rh", "functional": "GGA-PBE", "state": "relaxed", "cell": [[7.194, 0.000, 0.000], [0.000, 10.093, 0.000], [0.000, 0.000, 4.150]], "species": ["Al", "Al", "Al", "Al", "Al", "Al", "Al", "Al", "Al", "Al", "Al", "Al", "Cu", "Cu", "Cu", "Cu", "Cu", "Cu", "Rh", "Rh"], "fractional_positions": [[0.005, 0.248, 0.000], [0.157, 0.416, 0.500], [0.184, 0.113, 0.500], [0.316, 0.613, 0.000], [0.343, 0.916, 0.000], [0.495, 0.748, 0.500], [0.505, 0.252, 0.500], [0.657, 0.084, 0.000], [0.684, 0.387, 0.000], [0.816, 0.887, 0.500], [0.843, 0.584, 0.500], [0.995, 0.752, 0.000], [0.000, 0.000, 0.000], [0.162, 0.861, 0.500], [0.338, 0.361, 0.000], [0.500, 0.500, 0.500], [0.662, 0.639, 0.000], [0.838, 0.139, 0.500], [0.000, 0.500, 0.000], [0.500, 0.000, 0.500]], "ef_kj_per_mol_fu": -314.1, "n_ef_per_ev_cell": 8.26, "total_magnetization_mub_per_cell": 0.00}


# 12
{"formula": "AlCuRh2", "functional": "GGA-PBE", "state": "relaxed", "cell": [[3.760, 0.000, 0.000], [0.000, 3.760, 0.000], [0.000, 0.000, 17.208]], "species": ["Al", "Al", "Al", "Al", "Cu", "Cu", "Cu", "Cu", "Rh", "Rh", "Rh", "Rh", "Rh", "Rh", "Rh", "Rh"], "fractional_positions": [[0.000, 0.000, 0.000], [0.000, 0.500, 0.250], [0.500, 0.000, 0.750], [0.500, 0.500, 0.500], [0.000, 0.000, 0.500], [0.000, 0.500, 0.750], [0.500, 0.000, 0.250], [0.500, 0.500, 0.000], [0.240, 0.250, 0.625], [0.250, 0.740, 0.875], [0.250, 0.760, 0.375], [0.260, 0.250, 0.125], [0.740, 0.750, 0.125], [0.750, 0.240, 0.375], [0.750, 0.260, 0.875], [0.760, 0.750, 0.625]], "ef_kj_per_mol_fu": 21.1, "n_ef_per_ev_cell": 20.50, "total_magnetization_mub_per_cell": 0.00}


# 13
{"formula": "AlCu2Rh", "functional": "GGA-PBE", "state": "relaxed", "cell": [[8.762, 0.000, 0.000], [0.000, 2.993, 0.000], [-1.587, 0.000, 4.006]], "species": ["Al", "Al", "Cu", "Cu", "Cu", "Cu", "Rh", "Rh"], "fractional_positions": [[0.000, 0.000, 0.000], [0.500, 0.500, 0.000], [0.244, 0.500, 0.327], [0.489, 0.000, 0.486], [0.744, 0.000, 0.327], [0.989, 0.500, 0.486], [0.253, 0.000, 0.830], [0.753, 0.500, 0.830]], "ef_kj_per_mol_fu": -127.7, "n_ef_per_ev_cell": 3.75, "total_magnetization_mub_per_cell": 0.00}


| no. | electronic total energy (eV/atom) | calculated volume (Å³/cell) |
| --- | --- | --- |
| 1 | -4.549 | 125.82 |
| 2 | -4.874 | 241.75 |
| 3 | -4.994 | 138.90 |
| 4 | -4.803 | 108.05 |
| 5 | -5.089 | 53.55 |
| 6 | -5.580 | 79.94 |
| 7 | -5.230 | 56.00 |
| 8 | -5.031 | 52.84 |
| 9 | -5.952 | 54.18 |
| 10 | -6.346 | 80.82 |
| 11 | -4.535 | 301.35 |
| 12 | -5.581 | 243.32 |
| 13 | -5.153 | 105.07 |